Record 1
DFT (PBE) results for crystalline BaFe2As at its relaxed geometry.

Cell: 4.9724 4.9724 4.9724 Å, 120.55 120.55 89.04°
Each line ends with the local moment (μB).
Fractional positions:
As1 0.5000 0.5000 0.0000  0.04
Ba1 0.7500 0.2500 0.5000  -0.01
Fe1 0.0000 0.0000 0.0000  2.90
Fe2 0.2500 0.7500 0.5000  2.97

Values from the calculation:
density of states at the Fermi level: 1.282 states/eV per atom
space-group type: I-4m2
total energy: -5.24 eV per atom
calculated density: 6.24 g/cm3



Record 2
DFT (PBE) results for crystalline BaFeAs2 at its relaxed geometry.

Cell: 7.4807 7.4807 7.4807 Å, 152.04 151.33 40.48°
Each line ends with the local moment (μB).
Fractional positions:
As1 0.9087 0.9087 0.0000  -0.06
As2 0.2457 0.7457 0.5000  -0.10
Ba1 0.5483 0.5483 0.0000  -0.02
Fe1 0.7973 0.2973 0.5000  2.27

Values from the calculation:
density of states at the Fermi level: 0.983 states/eV per atom
space-group type: Imm2
total energy: -5.06 eV per atom
calculated density: 6.06 g/cm3



Record 3
DFT (PBE) results for crystalline BaFeAs2 at its relaxed geometry.

Cell: 4.0183 5.0793 5.1749 Å, 81.44 90.00 90.00°
Each line ends with the local moment (μB).
Fractional positions:
As1 0.0000 0.8272 0.9938  -0.01
As2 0.0000 0.6728 0.5062  -0.01
Ba1 0.5000 0.2500 0.2500  -0.01
Fe1 0.5000 0.7500 0.7500  2.24

Values from the calculation:
density of states at the Fermi level: 0.751 states/eV per atom
space-group type: P2/m
total energy: -5.29 eV per atom
calculated density: 5.45 g/cm3



Record 4
DFT (PBE) results for crystalline BaFe4As at its relaxed geometry.

Cell: 5.2687 5.2687 5.2687 Å, 60.00 60.00 60.00°
Each line ends with the local moment (μB).
Fractional positions:
Ba1 0.0000 0.0000 0.0000  -0.09
Fe1 0.8708 0.3764 0.3764  2.75
Fe2 0.3764 0.3764 0.8708  2.75
Fe3 0.3764 0.8708 0.3764  2.75
Fe4 0.3764 0.3764 0.3764  2.75
As1 0.7500 0.7500 0.7500  0.08

Values from the calculation:
density of states at the Fermi level: 0.831 states/eV per atom
space-group type: F-43m
total energy: -6.24 eV per atom
calculated density: 6.99 g/cm3